# ErPdPb

A relaxed structure of ErPdPb (PBE, the Alexandria database).

Unit cell a=3.5527 b=4.7448 c=4.7448 alpha=120.00 beta=90.00 gamma=90.00
Last column: nearest neighbours and their distance in Å.
Atoms (fractional coordinates):
Pb: 0.1665 0.3333 0.6667  3 Pd 2.74
Pd: 0.1668 0.0000 0.0000  3 Pb 2.74
Er: 0.6667 0.6667 0.3333  6 Pb 3.26-3.27, 6 Pd 3.26, 2 Er 3.55

## Properties
The final energy comes out at -5.108 eV per atom. The theoretical density comes out at 11.53 g/cm3. The crystal system is hexagonal. The density of states at the Fermi level is 2.23 states/eV per cell.


# Er12Pd6Pb

A relaxed structure of Er12Pd6Pb (PBE, the Alexandria database).

Unit cell a=8.6431 b=8.6431 c=8.6431 alpha=108.84 beta=108.84 gamma=108.84
Last column: nearest neighbours and their distance in Å.
Atoms (fractional coordinates):
Er: 0.8516 0.6151 0.5553  3 Pd 2.77-2.98
Er: 0.5553 0.8516 0.6151  3 Pd 2.77-2.98
Er: 0.6151 0.5553 0.8516  3 Pd 2.77-2.98
Er: 0.1484 0.3849 0.4447  3 Pd 2.77-2.98
Er: 0.4447 0.1484 0.3849  3 Pd 2.77-2.98
Er: 0.3849 0.4447 0.1484  3 Pd 2.77-2.98
Er: 0.0338 0.8574 0.3287  3 Pd 2.75-2.88
Er: 0.1426 0.6713 0.9662  3 Pd 2.75-2.88
Er: 0.6713 0.9662 0.1426  3 Pd 2.75-2.88
Er: 0.9662 0.1426 0.6713  3 Pd 2.75-2.88
Er: 0.8574 0.3287 0.0338  3 Pd 2.75-2.88
Er: 0.3287 0.0338 0.8574  3 Pd 2.75-2.88
Pd: 0.7101 0.7809 0.3532  6 Er 2.75-2.98
Pd: 0.6468 0.2899 0.2191  6 Er 2.75-2.98
Pd: 0.2191 0.6468 0.2899  6 Er 2.75-2.98
Pd: 0.2899 0.2191 0.6468  6 Er 2.75-2.98
Pd: 0.3532 0.7101 0.7809  6 Er 2.75-2.98
Pd: 0.7809 0.3532 0.7101  6 Er 2.75-2.98
Pb: 0.0000 0.0000 0.0000  12 Er 3.41-3.65

## Properties
The theoretical density comes out at 9.32 g/cm3. The crystal system is trigonal. The density of states at the Fermi level is 16.80 states/eV per cell. The distance to the lowest polymorph of the same formula comes out at 116 meV/atom.


# Er7Pd2Pb2

A relaxed structure of Er7Pd2Pb2 (PBE, the Alexandria database).

Unit cell a=3.6456 b=9.7699 c=9.7699 alpha=62.83 beta=79.25 gamma=79.25
Last column: nearest neighbours and their distance in Å.
Atoms (fractional coordinates):
Er: 0.8184 0.0820 0.2811  2 Pd 2.82
Er: 0.8477 0.4051 0.8995  2 Pd 2.85
Er: 0.5000 0.0436 0.9564  3 Pb 3.19-3.28
Er: 0.6251 0.4700 0.2798  2 Pd 2.85, 1 Pb 3.16
Er: 0.3749 0.7202 0.5300  2 Pd 2.85, 1 Pb 3.16
Er: 0.1816 0.7189 0.9180  2 Pd 2.82
Er: 0.1523 0.1005 0.5949  2 Pd 2.85
Pd: 0.7407 0.8494 0.6693  6 Er 2.82-2.85
Pd: 0.2593 0.3307 0.1506  6 Er 2.82-2.85
Pb: 0.0000 0.7762 0.2238  8 Er 3.21-3.30
Pb: 0.5000 0.3573 0.6427  7 Er 3.16-3.26

## Properties
The theoretical density comes out at 9.88 g/cm3. The crystal system is orthorhombic. The density of states at the Fermi level is 8.79 states/eV per cell. The distance to the lowest polymorph of the same formula comes out at 0 meV/atom.


# Er2Pd4Pb

A relaxed structure of Er2Pd4Pb (PBE, the Alexandria database).

Unit cell a=5.0066 b=5.0066 c=7.9551 alpha=108.34 beta=108.34 gamma=90.00
Last column: nearest neighbours and their distance in Å.
Atoms (fractional coordinates):
Er: 0.6276 0.6276 0.2552  1 Pd 2.56
Er: 0.3724 0.3724 0.7448  1 Pd 2.56
Pd: 0.8075 0.8075 0.6149  1 Er 2.56, 1 Pb 2.74
Pd: 0.1925 0.1925 0.3851  1 Er 2.56, 1 Pb 2.74
Pd: 0.0000 0.5000 0.0000  2 Pb 2.50
Pd: 0.5000 0.0000 0.0000  2 Pb 2.50
Pb: 0.0000 0.0000 0.0000  6 Pd 2.50-2.74

## Properties
The theoretical density comes out at 9.00 g/cm3. The crystal system is tetragonal. The density of states at the Fermi level is 3.10 states/eV per cell. The distance to the lowest polymorph of the same formula comes out at 489 meV/atom.


# Er2Pd2Pb

A relaxed structure of Er2Pd2Pb (PBE, the Alexandria database).

Unit cell a=7.8378 b=7.8378 c=3.6236 alpha=90.00 beta=90.00 gamma=90.00
Last column: nearest neighbours and their distance in Å.
Atoms (fractional coordinates):
Er: 0.6701 0.1701 0.5000  6 Pd 2.90-2.96
Er: 0.1701 0.3299 0.5000  6 Pd 2.90-2.96
Er: 0.8299 0.6701 0.5000  6 Pd 2.90-2.96
Er: 0.3299 0.8299 0.5000  6 Pd 2.90-2.96
Pd: 0.3740 0.1260 0.0000  1 Pd 2.79, 6 Er 2.90-2.96, 2 Pb 3.09
Pd: 0.1260 0.6260 0.0000  1 Pd 2.79, 6 Er 2.90-2.96, 2 Pb 3.09
Pd: 0.6260 0.8740 0.0000  1 Pd 2.79, 6 Er 2.90-2.96, 2 Pb 3.09
Pd: 0.8740 0.3740 0.0000  1 Pd 2.79, 6 Er 2.90-2.96, 2 Pb 3.09
Pb: 0.0000 0.0000 0.0000  4 Pd 3.09, 8 Er 3.43
Pb: 0.5000 0.5000 0.0000  4 Pd 3.09, 8 Er 3.43

## Properties
The final energy comes out at -5.495 eV per atom. The theoretical density comes out at 11.26 g/cm3. The crystal system is tetragonal. The density of states at the Fermi level is 4.46 states/eV per cell.


# Er12Pd6Pb

A relaxed structure of Er12Pd6Pb (PBE, the Alexandria database).

Unit cell a=8.5678 b=8.5678 c=8.5678 alpha=109.47 beta=109.47 gamma=109.47
Last column: nearest neighbours and their distance in Å.
Atoms (fractional coordinates):
Er: 0.2978 0.1133 0.8155  1 Pd 2.67
Er: 0.2978 0.4823 0.1845  1 Pd 2.67
Er: 0.7022 0.5177 0.8155  1 Pd 2.67
Er: 0.7022 0.8867 0.1845  1 Pd 2.67
Er: 0.1133 0.8155 0.2978  1 Pd 2.67
Er: 0.4823 0.1845 0.2978  1 Pd 2.67
Er: 0.5177 0.8155 0.7022  1 Pd 2.67
Er: 0.8867 0.1845 0.7022  1 Pd 2.67
Er: 0.8155 0.2978 0.1133  1 Pd 2.67
Er: 0.1845 0.2978 0.4823  1 Pd 2.67
Er: 0.8155 0.7022 0.5177  1 Pd 2.67
Er: 0.1845 0.7022 0.8867  1 Pd 2.67
Pd: 0.3629 0.5000 0.8629  2 Er 2.67, 1 Pd 2.71
Pd: 0.6371 0.5000 0.1371  2 Er 2.67, 1 Pd 2.71
Pd: 0.5000 0.8629 0.3629  2 Er 2.67, 1 Pd 2.71
Pd: 0.5000 0.1371 0.6371  2 Er 2.67, 1 Pd 2.71
Pd: 0.8629 0.3629 0.5000  2 Er 2.67, 1 Pd 2.71
Pd: 0.1371 0.6371 0.5000  2 Er 2.67, 1 Pd 2.71
Pb: 0.0000 0.0000 0.0000  12 Er 3.47

## Properties
The theoretical density comes out at 9.78 g/cm3. The crystal system is cubic. The density of states at the Fermi level is 19.53 states/eV per cell. The distance to the lowest polymorph of the same formula comes out at 0 meV/atom.


# ErPd4Pb

A relaxed structure of ErPd4Pb (PBE, the Alexandria database).

Unit cell a=3.8661 b=6.6835 c=5.1859 alpha=102.68 beta=68.11 gamma=73.19
Last column: nearest neighbours and their distance in Å.
Atoms (fractional coordinates):
Er: 0.5000 0.5000 0.5000  10 Pd 2.86-2.98
Pd: 0.6723 0.6619 0.9936  6 Pd 2.85-3.13, 2 Pb 2.89, 3 Er 2.94-2.98
Pd: 0.3277 0.3381 0.0064  6 Pd 2.85-3.13, 2 Pb 2.89, 3 Er 2.94-2.98
Pd: 0.1575 0.1744 0.5107  2 Er 2.86, 6 Pd 2.93-3.13, 3 Pb 2.95-3.00
Pd: 0.8425 0.8256 0.4893  2 Er 2.86, 6 Pd 2.93-3.13, 3 Pb 2.95-3.00
Pb: 0.0000 0.0000 0.0000  10 Pd 2.89-3.00, 2 Er 3.22

## Properties
The theoretical density comes out at 12.01 g/cm3. The crystal system is monoclinic. The density of states at the Fermi level is 3.32 states/eV per cell. The distance to the lowest polymorph of the same formula comes out at 0 meV/atom.


# ErPd12Pb3

A relaxed structure of ErPd12Pb3 (PBE, the Alexandria database).

Unit cell a=4.1093 b=4.1093 c=16.4280 alpha=90.00 beta=90.00 gamma=90.00
Last column: nearest neighbours and their distance in Å.
Atoms (fractional coordinates):
Er: 0.0000 0.0000 0.0000  12 Pd 2.90-2.91
Pd: 0.5000 0.5000 0.0000  8 Pd 2.90, 4 Er 2.91
Pd: 0.5000 0.5000 0.2507  8 Pd 2.89-2.92, 4 Pb 2.91
Pd: 0.5000 0.5000 0.5000  4 Pb 2.91, 8 Pd 2.91
Pd: 0.5000 0.5000 0.7493  8 Pd 2.89-2.92, 4 Pb 2.91
Pd: 0.5000 0.0000 0.1247  2 Er 2.90, 8 Pd 2.90-2.92, 2 Pb 2.90
Pd: 0.5000 0.0000 0.3748  8 Pd 2.89-2.91, 4 Pb 2.91
Pd: 0.5000 0.0000 0.6252  8 Pd 2.89-2.91, 4 Pb 2.91
Pd: 0.5000 0.0000 0.8753  2 Er 2.90, 8 Pd 2.90-2.92, 2 Pb 2.90
Pd: 0.0000 0.5000 0.1247  2 Er 2.90, 8 Pd 2.90-2.92, 2 Pb 2.90
Pd: 0.0000 0.5000 0.3748  8 Pd 2.89-2.91, 4 Pb 2.91
Pd: 0.0000 0.5000 0.6252  8 Pd 2.89-2.91, 4 Pb 2.91
Pd: 0.0000 0.5000 0.8753  2 Er 2.90, 8 Pd 2.90-2.92, 2 Pb 2.90
Pb: 0.0000 0.0000 0.2496  12 Pd 2.90-2.91
Pb: 0.0000 0.0000 0.5000  12 Pd 2.91
Pb: 0.0000 0.0000 0.7504  12 Pd 2.90-2.91

## Properties
The final energy comes out at -5.319 eV per atom. The theoretical density comes out at 12.37 g/cm3. The crystal system is tetragonal. The density of states at the Fermi level is 4.32 states/eV per cell.


# ErPdPb

A relaxed structure of ErPdPb (PBE, the Alexandria database).

Unit cell a=3.5272 b=3.5272 c=6.1874 alpha=106.56 beta=106.56 gamma=90.00
Last column: nearest neighbours and their distance in Å.
Atoms (fractional coordinates):
Pb: 0.6024 0.6024 0.2049  4 Pd 3.09, 5 Er 3.36-3.39
Pd: 0.9419 0.9419 0.8839  4 Er 2.93, 4 Pb 3.09
Er: 0.3056 0.3056 0.6112  4 Pd 2.93

## Properties
The final energy comes out at -5.005 eV per atom. The theoretical density comes out at 11.34 g/cm3. The crystal system is tetragonal. The density of states at the Fermi level is 2.16 states/eV per cell.


# ErPd4Pb

A relaxed structure of ErPd4Pb (PBE, the Alexandria database).

Unit cell a=5.4218 b=5.4218 c=5.4218 alpha=60.00 beta=60.00 gamma=60.00
Last column: nearest neighbours and their distance in Å.
Atoms (fractional coordinates):
Pb: 0.0000 0.0000 0.0000  12 Pd 3.18, 4 Er 3.32
Pd: 0.6249 0.6249 0.1254  6 Pd 2.71
Pd: 0.6249 0.1254 0.6249  6 Pd 2.71
Pd: 0.6249 0.6249 0.6249  6 Pd 2.71
Pd: 0.1254 0.6249 0.6249  6 Pd 2.71
Er: 0.2500 0.2500 0.2500  12 Pd 3.18, 4 Pb 3.32

## Properties
The theoretical density comes out at 11.79 g/cm3. The crystal system is cubic. The density of states at the Fermi level is 5.07 states/eV per cell. The distance to the lowest polymorph of the same formula comes out at 15 meV/atom.


# PmErPdPb

A relaxed structure of PmErPdPb (PBE, the Alexandria database).

Unit cell a=5.2563 b=5.2563 c=5.2563 alpha=60.00 beta=60.00 gamma=60.00
Last column: nearest neighbours and their distance in Å.
Atoms (fractional coordinates):
Pb: 0.5000 0.5000 0.5000  4 Pm 3.22, 4 Er 3.22
Pm: 0.2500 0.2500 0.2500  4 Pb 3.22, 4 Pd 3.22
Pd: 0.0000 0.0000 0.0000  4 Er 3.22, 4 Pm 3.22
Er: 0.7500 0.7500 0.7500  4 Pb 3.22, 4 Pd 3.22

## Properties
The final energy comes out at -5.150 eV per atom. The theoretical density comes out at 10.12 g/cm3. The crystal system is cubic. The density of states at the Fermi level is 2.18 states/eV per cell.